Na2SeS (PBE-GGA, relaxed); total moment = 0.000 μB per formula unit; energy = -3.3256 eV per atom; raw formation energy = -0.76 eV per atom
1.0
-4.079 2.971 -2.912
-3.834 -5.223 0.040
-3.776 3.335 8.692
Se S Na
4 4 8
Direct
0.743 0.799 0.883
0.243 0.701 0.617
0.757 0.299 0.383
0.257 0.201 0.117
0.254 0.055 0.635
0.746 0.945 0.365
0.754 0.445 0.865
0.246 0.555 0.135
0.743 0.628 0.603
0.245 0.888 0.352
0.255 0.388 0.852
0.757 0.128 0.103
0.755 0.112 0.648
0.243 0.872 0.897
0.257 0.372 0.397
0.745 0.612 0.148

=====

LiGaH2Pd4 (PBE-GGA, relaxed); total moment = 0.000 μB per formula unit; density of states at the Fermi level = 0.09 states/eV per atom; energy = -4.3497 eV per atom
1.0
-0.777 3.203 -2.163
1.781 -1.661 -3.100
-5.761 -2.669 -1.881
Pd H Ga Li
4 2 1 1
Direct
0.500 0.000 0.753
0.000 0.500 0.247
0.000 0.500 0.753
0.500 0.000 0.247
0.500 0.500 0.263
0.500 0.500 0.737
0.000 0.000 0.000
0.000 0.000 0.500

=====

Ce2TeH3 (PBE-GGA, relaxed); total moment = 2.971 μB per formula unit; density of states at the Fermi level = 2.19 states/eV per atom; energy = -4.9478 eV per atom
1.0
4.084 0.000 0.000
-2.042 3.537 0.000
0.000 0.000 14.282
Ce H Te
4 6 2
Direct
0.333 0.667 0.904
0.667 0.333 0.404
0.667 0.333 0.096
0.333 0.667 0.596
0.667 0.333 0.930
0.000 0.000 0.000
0.667 0.333 0.570
0.333 0.667 0.070
0.000 0.000 0.500
0.333 0.667 0.430
0.000 0.000 0.250
0.000 0.000 0.750

=====

> Among the records above, which one has the lowest energy?

Ce2TeH3

=====

> What is the total moment in the first record?

0.000 μB per formula unit

=====

> Which of these has the highest total moment?

Ce2TeH3